Compound: Ca2AgSb
Source: the Alexandria database
Functional: GGA-PBEsol
Structure: relaxed

Results
DOS(E_F) ... 2.910 states/eV/cell
VASP energy ... -3.706 eV/atom
ΔE_f (raw) ... -672 meV per atom

Unit cell a=4.534 b=4.277 c=11.313 alpha=90.00 beta=90.00 gamma=90.00
Element x y z (fractional)
Ca 0.000 0.000 0.000
Ca 0.000 0.500 0.500
Ca 0.500 0.000 0.281
Ca 0.500 0.500 0.781
Ag 0.000 0.000 0.718
Ag 0.000 0.500 0.218
Sb 0.500 0.000 0.563
Sb 0.500 0.500 0.063